No. 1
# TeMoAu3 GGA-PBE optimized geometry
data_TeMoAu3
_cell_length_a 5.2354
_cell_length_b 5.2354
_cell_length_c 5.2354
_cell_angle_alpha 90.00
_cell_angle_beta 90.00
_cell_angle_gamma 90.00
_space_group_name_H-M_alt 'P 1'
_space_group_IT_number 1
_space_group_name_Hall 'P 1'
loop_
_atom_site_label
_atom_site_type_symbol
_atom_site_fract_x
_atom_site_fract_y
_atom_site_fract_z
Te1 Te 0.0000 0.0000 0.0000
Mo1 Mo 0.5000 0.5000 0.5000
Au1 Au 0.0000 0.0000 0.5000
Au2 Au 0.0000 0.5000 0.0000
Au3 Au 0.5000 0.0000 0.0000
# raw total energy = -3.51 eV per atom
# size of the total moment = 4.70 μB/cell
# space-group type = No. 221
# formation energy (no corrections) = 120.36 kJ per mole of atoms

---

No. 2
# La5Sm2DyTm GGA-PBE optimized geometry
data_La5Sm2DyTm
_cell_length_a 10.8983
_cell_length_b 10.8983
_cell_length_c 10.8983
_cell_angle_alpha 134.59
_cell_angle_beta 134.59
_cell_angle_gamma 66.17
_space_group_name_H-M_alt 'P 1'
_space_group_IT_number 1
_space_group_name_Hall 'P 1'
loop_
_atom_site_label
_atom_site_type_symbol
_atom_site_fract_x
_atom_site_fract_y
_atom_site_fract_z
La1 La 0.0000 0.0000 0.0000
La2 La 0.0797 0.5797 0.9410
La3 La 0.1387 0.0797 0.5000
La4 La 0.3613 0.8613 0.9410
La5 La 0.4203 0.3613 0.5000
La6 La 0.5000 0.5000 0.0000
La7 La 0.5797 0.6387 0.5000
La8 La 0.6387 0.1387 0.0590
La9 La 0.8613 0.9203 0.5000
La10 La 0.9203 0.4203 0.0590
Sm1 Sm 0.1265 0.3735 0.5000
Sm2 Sm 0.3735 0.8735 0.2470
Sm3 Sm 0.6265 0.1265 0.7530
Sm4 Sm 0.8735 0.6265 0.5000
Dy1 Dy 0.2500 0.2500 0.0000
Dy2 Dy 0.7500 0.7500 0.0000
Tm1 Tm 0.2500 0.7500 0.5000
Tm2 Tm 0.7500 0.2500 0.5000
# raw total energy = -4.51 eV per atom
# size of the total moment = 0.00 μB/cell
# space-group type = No. 140
# energy of formation from the pure elements = 0.281 eV/atom

---

No. 3
# Ac2Ga4PdRh3 GGA-PBE optimized geometry
data_Ac2Ga4PdRh3
_cell_length_a 4.4044
_cell_length_b 4.4044
_cell_length_c 10.3942
_cell_angle_alpha 90.00
_cell_angle_beta 90.00
_cell_angle_gamma 90.00
_space_group_name_H-M_alt 'P 1'
_space_group_IT_number 1
_space_group_name_Hall 'P 1'
loop_
_atom_site_label
_atom_site_type_symbol
_atom_site_fract_x
_atom_site_fract_y
_atom_site_fract_z
Ac1 Ac 0.0000 0.5000 0.2465
Ac2 Ac 0.5000 0.0000 0.7535
Ga1 Ga 0.0000 0.0000 0.5000
Ga2 Ga 0.0000 0.5000 0.8749
Ga3 Ga 0.5000 0.0000 0.1251
Ga4 Ga 0.5000 0.5000 0.5000
Pd1 Pd 0.5000 0.5000 0.0000
Rh1 Rh 0.0000 0.0000 0.0000
Rh2 Rh 0.0000 0.5000 0.6272
Rh3 Rh 0.5000 0.0000 0.3728
# raw total energy = -5.55 eV per atom
# size of the total moment = 0.00 μB/cell
# space-group type = No. 115
# energy of formation from the pure elements = -0.792 eV/atom

---

No. 4
# Tm4GaBiC GGA-PBE optimized geometry
data_Tm4GaBiC
_cell_length_a 8.4342
_cell_length_b 8.4342
_cell_length_c 6.6675
_cell_angle_alpha 90.00
_cell_angle_beta 90.00
_cell_angle_gamma 133.48
_space_group_name_H-M_alt 'P 1'
_space_group_IT_number 1
_space_group_name_Hall 'P 1'
loop_
_atom_site_label
_atom_site_type_symbol
_atom_site_fract_x
_atom_site_fract_y
_atom_site_fract_z
Tm1 Tm 0.0000 0.5000 0.0000
Tm2 Tm 0.0000 0.5000 0.5000
Tm3 Tm 0.0841 0.9159 0.7500
Tm4 Tm 0.4035 0.5965 0.7500
Tm5 Tm 0.5000 0.0000 0.0000
Tm6 Tm 0.5000 0.0000 0.5000
Tm7 Tm 0.5965 0.4035 0.2500
Tm8 Tm 0.9159 0.0841 0.2500
Ga1 Ga 0.1165 0.8835 0.2500
Ga2 Ga 0.8835 0.1165 0.7500
Bi1 Bi 0.3955 0.6045 0.2500
Bi2 Bi 0.6045 0.3955 0.7500
C1 C 0.2482 0.7518 0.7500
C2 C 0.7518 0.2482 0.2500
# raw total energy = -5.44 eV per atom
# size of the total moment = 0.00 μB/cell
# space-group type = No. 63
# energy of formation from the pure elements = -0.576 eV/atom

---

No. 5
# TaIr3W GGA-PBE optimized geometry
data_TaIr3W
_cell_length_a 4.8115
_cell_length_b 4.8115
_cell_length_c 6.9181
_cell_angle_alpha 118.00
_cell_angle_beta 118.00
_cell_angle_gamma 33.92
_space_group_name_H-M_alt 'P 1'
_space_group_IT_number 1
_space_group_name_Hall 'P 1'
loop_
_atom_site_label
_atom_site_type_symbol
_atom_site_fract_x
_atom_site_fract_y
_atom_site_fract_z
Ta1 Ta 0.0000 0.0000 0.0000
Ir1 Ir 0.1924 0.1924 0.7812
Ir2 Ir 0.6038 0.6038 0.4004
Ir3 Ir 0.7916 0.7916 0.1777
W1 W 0.3886 0.3886 0.5609
# raw total energy = -10.59 eV per atom
# size of the total moment = 0.00 μB/cell
# space-group type = No. 8
# energy of formation from the pure elements = -0.317 eV/atom

---

No. 6
# Y3HfRh4 GGA-PBE optimized geometry
data_Y3HfRh4
_cell_length_a 3.3455
_cell_length_b 3.3455
_cell_length_c 14.0062
_cell_angle_alpha 90.00
_cell_angle_beta 90.00
_cell_angle_gamma 90.00
_space_group_name_H-M_alt 'P 1'
_space_group_IT_number 1
_space_group_name_Hall 'P 1'
loop_
_atom_site_label
_atom_site_type_symbol
_atom_site_fract_x
_atom_site_fract_y
_atom_site_fract_z
Y1 Y 0.0000 0.0000 0.0000
Y2 Y 0.0000 0.0000 0.2545
Y3 Y 0.0000 0.0000 0.7455
Hf1 Hf 0.0000 0.0000 0.5000
Rh1 Rh 0.5000 0.5000 0.1287
Rh2 Rh 0.5000 0.5000 0.3917
Rh3 Rh 0.5000 0.5000 0.6083
Rh4 Rh 0.5000 0.5000 0.8713
# raw total energy = -8.21 eV per atom
# size of the total moment = 0.00 μB/cell
# space-group type = No. 123
# energy of formation from the pure elements = -0.861 eV/atom